Entry 1:
Nb2Ag2Ru | PBE | relaxed

Summary:
The total magnetization is 0.000 μB/atom. For the energy relative to the lowest polymorph listed for this composition, the calculation gives 0.12 eV per formula unit. The energy of formation from the pure elements comes out at 0.623 eV/atom.

abc: 3.645 3.645 14.373
angles: 90.00 90.00 90.00
Space group I4/mmm (No. 139)
Unique sites:
Nb 0.000 0.000 0.082
Ag 0.000 0.500 0.250
Ru 0.000 0.000 0.500

=====

Entry 2:
Cd2AgAu2 | PBE | relaxed

Summary:
The total magnetization is 0.000 μB/atom. For the energy relative to the lowest polymorph listed for this composition, the calculation gives 0.12 eV per formula unit. The energy of formation from the pure elements comes out at -0.115 eV/atom.

abc: 8.124 4.787 5.533
angles: 90.00 117.59 90.00
Space group C2/m (No. 12)
Unique sites:
Cd 0.102 0.000 0.303
Ag 0.000 0.500 0.500
Au 0.201 0.500 0.102